1.
Density functional theory data (PBE) for crystalline AcDyEr2 at its relaxed geometry.

abc: 3.603 5.504 14.058
angles: 90.00 97.30 90.00
Sites, in units of the cell vectors:
1 Ac 0.041 0.250 0.083
2 Ac 0.959 0.750 0.917
3 Dy 0.230 0.750 0.459
4 Dy 0.770 0.250 0.541
5 Er 0.162 0.250 0.324
6 Er 0.388 0.250 0.776
7 Er 0.612 0.750 0.224
8 Er 0.838 0.750 0.676

Properties
The excess energy over the best structure of this formula in the dataset is 0.12 eV per formula unit. Its formation energy is 0.096 eV per atom. As for the volume: 276.55 Å³/cell. The total energy comes out at -0.160 hartree per atom.

2.
Density functional theory data (PBE) for crystalline AcDy3Er2 at its relaxed geometry.

abc: 6.732 6.732 9.003
angles: 98.26 98.26 94.82
Sites, in units of the cell vectors:
1 Ac 0.072 0.928 0.750
2 Ac 0.928 0.072 0.250
3 Dy 0.179 0.358 0.010
4 Dy 0.358 0.179 0.510
5 Dy 0.413 0.587 0.750
6 Dy 0.587 0.413 0.250
7 Dy 0.642 0.821 0.490
8 Dy 0.821 0.642 0.990
9 Er 0.130 0.618 0.374
10 Er 0.382 0.870 0.126
11 Er 0.618 0.130 0.874
12 Er 0.870 0.382 0.626

Properties
Its formation energy is 0.104 eV per atom. As for the volume: 397.35 Å³/cell. The total energy comes out at -0.162 hartree per atom.

3.
Density functional theory data (PBE) for crystalline AcDy5Er4 at its relaxed geometry.

abc: 8.792 8.792 10.959
angles: 90.51 90.51 23.46
Sites, in units of the cell vectors:
1 Ac 0.000 0.000 0.000
2 Dy 0.000 0.000 0.500
3 Dy 0.323 0.323 0.059
4 Dy 0.327 0.327 0.450
5 Dy 0.673 0.673 0.550
6 Dy 0.677 0.677 0.941
7 Er 0.151 0.151 0.250
8 Er 0.474 0.474 0.258
9 Er 0.526 0.526 0.742
10 Er 0.849 0.849 0.750

Properties
Its formation energy is 0.215 eV per atom. As for the volume: 337.25 Å³/cell. The total energy comes out at -0.159 hartree per atom.

4.
Density functional theory data (PBE) for crystalline Ac2Dy5Er6 at its relaxed geometry.

abc: 11.858 20.226 3.623
angles: 90.00 90.00 90.00
Sites, in units of the cell vectors:
1 Ac 0.161 0.222 0.000
2 Ac 0.339 0.722 0.000
3 Ac 0.661 0.278 0.000
4 Ac 0.839 0.778 0.000
5 Dy 0.000 0.500 0.500
6 Dy 0.101 0.783 0.500
7 Dy 0.200 0.052 0.500
8 Dy 0.300 0.552 0.500
9 Dy 0.399 0.283 0.500
10 Dy 0.500 0.000 0.500
11 Dy 0.601 0.717 0.500
12 Dy 0.700 0.448 0.500
13 Dy 0.800 0.948 0.500
14 Dy 0.899 0.217 0.500
15 Er 0.060 0.925 0.000
16 Er 0.075 0.638 0.000
17 Er 0.183 0.382 0.500
18 Er 0.317 0.882 0.500
19 Er 0.425 0.138 0.000
20 Er 0.440 0.425 0.000
21 Er 0.560 0.575 0.000
22 Er 0.575 0.862 0.000
23 Er 0.683 0.118 0.500
24 Er 0.817 0.618 0.500
25 Er 0.925 0.362 0.000
26 Er 0.940 0.075 0.000

Properties
Its formation energy is 0.122 eV per atom. As for the volume: 869.03 Å³/cell. The total energy comes out at -0.161 hartree per atom.

5.
Density functional theory data (PBE) for crystalline Ac2Dy15Er2 at its relaxed geometry.

abc: 8.781 8.781 8.781
angles: 79.82 79.82 79.82
Sites, in units of the cell vectors:
1 Ac 0.113 0.113 0.113
2 Ac 0.887 0.887 0.887
3 Dy 0.000 0.000 0.500
4 Dy 0.000 0.308 0.692
5 Dy 0.000 0.500 0.000
6 Dy 0.000 0.692 0.308
7 Dy 0.156 0.628 0.628
8 Dy 0.308 0.000 0.692
9 Dy 0.308 0.692 0.000
10 Dy 0.372 0.372 0.844
11 Dy 0.372 0.844 0.372
12 Dy 0.500 0.000 0.000
13 Dy 0.628 0.156 0.628
14 Dy 0.628 0.628 0.156
15 Dy 0.692 0.000 0.308
16 Dy 0.692 0.308 0.000
17 Dy 0.844 0.372 0.372
18 Er 0.330 0.330 0.330
19 Er 0.670 0.670 0.670

Properties
Its formation energy is 0.302 eV per atom. As for the volume: 648.44 Å³/cell. The total energy comes out at -0.156 hartree per atom.

6.
Density functional theory data (PBE) for crystalline AcDy6Er at its relaxed geometry.

abc: 5.083 5.083 10.152
angles: 90.00 90.00 90.00
Sites, in units of the cell vectors:
1 Ac 0.000 0.000 0.000
2 Dy 0.000 0.500 0.259
3 Dy 0.000 0.500 0.741
4 Dy 0.500 0.000 0.259
5 Dy 0.500 0.000 0.741
6 Dy 0.500 0.500 0.000
7 Dy 0.500 0.500 0.500
8 Er 0.000 0.000 0.500

Properties
The excess energy over the best structure of this formula in the dataset is 0.00 eV per formula unit. Its formation energy is 0.045 eV per atom. As for the volume: 262.26 Å³/cell. The total energy comes out at -0.165 hartree per atom.

7.
Density functional theory data (PBE) for crystalline Ac2Dy7Er3 at its relaxed geometry.

abc: 6.413 3.589 17.478
angles: 90.00 90.20 90.00
Sites, in units of the cell vectors:
1 Ac 0.008 0.000 0.175
2 Ac 0.992 0.000 0.825
3 Dy 0.177 0.500 0.341
4 Dy 0.261 0.000 0.999
5 Dy 0.332 0.000 0.663
6 Dy 0.500 0.500 0.500
7 Dy 0.668 0.000 0.337
8 Dy 0.739 0.000 0.001
9 Dy 0.823 0.500 0.659
10 Er 0.000 0.000 0.500
11 Er 0.500 0.500 0.158
12 Er 0.500 0.500 0.842

Properties
Its formation energy is 0.107 eV per atom. As for the volume: 402.24 Å³/cell. The total energy comes out at -0.162 hartree per atom.

8.
Density functional theory data (PBE) for crystalline AcDy6Er8 at its relaxed geometry.

abc: 9.507 9.507 6.363
angles: 90.00 90.00 120.00
Sites, in units of the cell vectors:
1 Ac 0.000 0.000 0.000
2 Dy 0.110 0.682 0.084
3 Dy 0.318 0.428 0.084
4 Dy 0.428 0.110 0.916
5 Dy 0.572 0.890 0.084
6 Dy 0.682 0.572 0.916
7 Dy 0.890 0.318 0.916
8 Er 0.024 0.340 0.415
9 Er 0.316 0.976 0.415
10 Er 0.333 0.667 0.649
11 Er 0.340 0.316 0.585
12 Er 0.660 0.684 0.415
13 Er 0.667 0.333 0.351
14 Er 0.684 0.024 0.585
15 Er 0.976 0.660 0.585

Properties
Its formation energy is 0.215 eV per atom. As for the volume: 498.06 Å³/cell. The total energy comes out at -0.159 hartree per atom.

9.
Density functional theory data (PBE) for crystalline AcDy2Er4 at its relaxed geometry.

abc: 7.105 8.656 8.836
angles: 114.35 101.56 101.66
Sites, in units of the cell vectors:
1 Ac 0.000 0.000 0.000
2 Ac 0.086 0.727 0.575
3 Dy 0.108 0.552 0.866
4 Dy 0.227 0.163 0.726
5 Dy 0.582 0.732 0.583
6 Dy 0.801 0.892 0.318
7 Er 0.199 0.323 0.450
8 Er 0.314 0.895 0.317
9 Er 0.403 0.446 0.160
10 Er 0.502 0.004 0.996
11 Er 0.600 0.554 0.860
12 Er 0.694 0.324 0.447
13 Er 0.718 0.155 0.720
14 Er 0.891 0.437 0.142

Properties
Its formation energy is 0.073 eV per atom. As for the volume: 459.67 Å³/cell. The total energy comes out at -0.163 hartree per atom.

10.
Density functional theory data (PBE) for crystalline AcDy2Er5 at its relaxed geometry.

abc: 7.117 7.117 7.117
angles: 119.75 119.75 90.43
Sites, in units of the cell vectors:
1 Ac 0.000 0.000 0.000
2 Dy 0.000 0.500 0.500
3 Dy 0.500 0.000 0.500
4 Er 0.000 0.000 0.500
5 Er 0.000 0.500 0.000
6 Er 0.500 0.000 0.000
7 Er 0.500 0.500 0.000
8 Er 0.500 0.500 0.500

Properties
Its formation energy is 0.039 eV per atom. As for the volume: 255.89 Å³/cell. The total energy comes out at -0.165 hartree per atom.

11.
Density functional theory data (PBE) for crystalline AcDy6Er at its relaxed geometry.

abc: 6.723 6.762 6.821
angles: 60.50 82.61 84.11
Sites, in units of the cell vectors:
1 Ac 0.000 0.000 0.000
2 Dy 0.260 0.950 0.480
3 Dy 0.262 0.477 0.960
4 Dy 0.279 0.450 0.457
5 Dy 0.721 0.550 0.543
6 Dy 0.738 0.523 0.040
7 Dy 0.740 0.050 0.520
8 Er 0.500 0.000 0.000

Properties
The excess energy over the best structure of this formula in the dataset is 1.38 eV per formula unit. Its formation energy is 0.218 eV per atom. As for the volume: 267.37 Å³/cell. The total energy comes out at -0.159 hartree per atom.

12.
Density functional theory data (PBE) for crystalline AcDyEr2 at its relaxed geometry.

abc: 4.128 4.128 8.090
angles: 90.00 90.00 90.00
Sites, in units of the cell vectors:
1 Ac 0.000 0.000 0.000
2 Dy 0.000 0.000 0.500
3 Er 0.500 0.500 0.275
4 Er 0.500 0.500 0.725

Properties
The excess energy over the best structure of this formula in the dataset is 0.16 eV per formula unit. Its formation energy is 0.106 eV per atom. As for the volume: 137.83 Å³/cell. The total energy comes out at -0.160 hartree per atom.